Below is a relaxed Ce2PuSn2Pd2 crystal, with properties calculated at the PBE-GGA level.

Summary:
Crystal system: trigonal
Space-group type: No. 166
Volume (Å³/cell): 166
DFT formation energy (eV/atom): -0.580
Mass density (g/cm3): 9.742
Electronic total energy (eV/atom): -6.9498

The structure in CIF format:
```
data_Ce2PuSn2Pd2
_chemical_formula_sum 'Ce2 Pu1 Sn2 Pd2'
_cell_length_a 9.152
_cell_length_b 9.152
_cell_length_c 9.152
_cell_angle_alpha 29.65
_cell_angle_beta 29.65
_cell_angle_gamma 29.65
_symmetry_space_group_name_H-M 'P 1'
_symmetry_Int_Tables_number 1
_symmetry_space_group_name_Hall 'P 1'
loop_
_atom_site_label
_atom_site_type_symbol
_atom_site_fract_x
_atom_site_fract_y
_atom_site_fract_z
Ce1 Ce 0.141 0.141 0.141
Ce2 Ce 0.859 0.859 0.859
Pu1 Pu 0.000 0.000 0.000
Sn1 Sn 0.267 0.267 0.267
Sn2 Sn 0.733 0.733 0.733
Pd1 Pd 0.434 0.434 0.434
Pd2 Pd 0.566 0.566 0.566
```

***

Below is a relaxed Pm3AlIn2 crystal, with properties calculated at the PBE-GGA level.

Summary:
Crystal system: tetragonal
Space-group type: No. 123
Volume (Å³/cell): 165
DFT formation energy (eV/atom): -0.449
Mass density (g/cm3): 6.963
Electronic total energy (eV/atom): -4.3604

The structure in CIF format:
```
data_Pm3AlIn2
_chemical_formula_sum 'Pm3 Al1 In2'
_cell_length_a 3.784
_cell_length_b 3.784
_cell_length_c 11.519
_cell_angle_alpha 90.00
_cell_angle_beta 90.00
_cell_angle_gamma 90.00
_symmetry_space_group_name_H-M 'P 1'
_symmetry_Int_Tables_number 1
_symmetry_space_group_name_Hall 'P 1'
loop_
_atom_site_label
_atom_site_type_symbol
_atom_site_fract_x
_atom_site_fract_y
_atom_site_fract_z
Pm1 Pm 0.000 0.000 0.000
Pm2 Pm 0.000 0.000 0.343
Pm3 Pm 0.000 0.000 0.657
Al1 Al 0.500 0.500 0.500
In1 In 0.500 0.500 0.171
In2 In 0.500 0.500 0.829
```

***

Below is a relaxed Na4NdDy3S8 crystal, with properties calculated at the PBE-GGA level.

Summary:
Crystal system: trigonal
Formation energy without anion corrections (eV/atom): -1.83
Space-group type: No. 166
Volume (Å³/cell): 375
Mass density (g/cm3): 4.343
Electronic total energy (eV/atom): -5.3867

The structure in CIF format:
```
data_Na4NdDy3S8
_chemical_formula_sum 'Na4 Nd1 Dy3 S8'
_cell_length_a 8.141
_cell_length_b 8.141
_cell_length_c 8.141
_cell_angle_alpha 59.23
_cell_angle_beta 59.23
_cell_angle_gamma 59.23
_symmetry_space_group_name_H-M 'P 1'
_symmetry_Int_Tables_number 1
_symmetry_space_group_name_Hall 'P 1'
loop_
_atom_site_label
_atom_site_type_symbol
_atom_site_fract_x
_atom_site_fract_y
_atom_site_fract_z
Na1 Na 0.000 0.000 0.000
Na2 Na 0.000 0.500 0.500
Na3 Na 0.500 0.000 0.500
Na4 Na 0.500 0.500 0.000
Nd1 Nd 0.500 0.500 0.500
Dy1 Dy 0.000 0.000 0.500
Dy2 Dy 0.000 0.500 0.000
Dy3 Dy 0.500 0.000 0.000
S1 S 0.236 0.747 0.747
S2 S 0.242 0.242 0.242
S3 S 0.253 0.253 0.764
S4 S 0.253 0.764 0.253
S5 S 0.747 0.236 0.747
S6 S 0.747 0.747 0.236
S7 S 0.758 0.758 0.758
S8 S 0.764 0.253 0.253
```

***

Below is a relaxed ScBiF crystal, with properties calculated at the PBE-GGA level.

Summary:
Crystal system: monoclinic
Formation energy without anion corrections (eV/atom): -1.90
Space-group type: No. 12
Volume (Å³/cell): 130
Mass density (g/cm3): 6.969
Electronic total energy (eV/atom): -5.9323

The structure in CIF format:
```
data_ScBiF
_chemical_formula_sum 'Sc2 Bi2 F2'
_cell_length_a 6.018
_cell_length_b 6.018
_cell_length_c 7.758
_cell_angle_alpha 119.13
_cell_angle_beta 119.13
_cell_angle_gamma 32.49
_symmetry_space_group_name_H-M 'P 1'
_symmetry_Int_Tables_number 1
_symmetry_space_group_name_Hall 'P 1'
loop_
_atom_site_label
_atom_site_type_symbol
_atom_site_fract_x
_atom_site_fract_y
_atom_site_fract_z
Sc1 Sc 0.184 0.184 0.260
Sc2 Sc 0.816 0.816 0.740
Bi1 Bi 0.421 0.421 0.149
Bi2 Bi 0.579 0.579 0.851
F1 F 0.205 0.205 0.572
F2 F 0.795 0.795 0.428
```

***

Below is a relaxed CeHfAg crystal, with properties calculated at the PBE-GGA level.

Summary:
Crystal system: tetragonal
Space-group type: No. 107
Volume (Å³/cell): 69
DFT formation energy (eV/atom): -0.002
Energy relative to the lowest polymorph listed for this composition (eV/f.u.): 0.00
Mass density (g/cm3): 10.319
Electronic total energy (eV/atom): -6.2481

The structure in CIF format:
```
data_CeHfAg
_chemical_formula_sum 'Ce1 Hf1 Ag1'
_cell_length_a 7.147
_cell_length_b 7.147
_cell_length_c 7.147
_cell_angle_alpha 154.29
_cell_angle_beta 154.29
_cell_angle_gamma 36.68
_symmetry_space_group_name_H-M 'P 1'
_symmetry_Int_Tables_number 1
_symmetry_space_group_name_Hall 'P 1'
loop_
_atom_site_label
_atom_site_type_symbol
_atom_site_fract_x
_atom_site_fract_y
_atom_site_fract_z
Ce1 Ce 0.000 0.000 0.000
Hf1 Hf 0.324 0.324 0.000
Ag1 Ag 0.681 0.681 0.000
```

***

Repeat the fourth record exactly.
Below is a relaxed ScBiF crystal, with properties calculated at the PBE-GGA level.

Summary:
Crystal system: monoclinic
Formation energy without anion corrections (eV/atom): -1.90
Space-group type: No. 12
Volume (Å³/cell): 130
Mass density (g/cm3): 6.969
Electronic total energy (eV/atom): -5.9323

The structure in CIF format:
```
data_ScBiF
_chemical_formula_sum 'Sc2 Bi2 F2'
_cell_length_a 6.018
_cell_length_b 6.018
_cell_length_c 7.758
_cell_angle_alpha 119.13
_cell_angle_beta 119.13
_cell_angle_gamma 32.49
_symmetry_space_group_name_H-M 'P 1'
_symmetry_Int_Tables_number 1
_symmetry_space_group_name_Hall 'P 1'
loop_
_atom_site_label
_atom_site_type_symbol
_atom_site_fract_x
_atom_site_fract_y
_atom_site_fract_z
Sc1 Sc 0.184 0.184 0.260
Sc2 Sc 0.816 0.816 0.740
Bi1 Bi 0.421 0.421 0.149
Bi2 Bi 0.579 0.579 0.851
F1 F 0.205 0.205 0.572
F2 F 0.795 0.795 0.428
```